1.
Below is a relaxed structure of CrRhN, with properties calculated at the PBE level.

a = 2.7579 Å, b = 5.1110 Å, c = 4.8940 Å
α = 90.00°, β = 106.37°, γ = 90.00°
Atoms (fractional coordinates):
N 0.3465 0.4418 0.6930
N 0.6535 0.9418 0.3070
Rh 0.0275 0.4816 0.0550
Rh 0.9725 0.9816 0.9450
Cr 0.2497 0.1177 0.4994
Cr 0.7503 0.6177 0.5006

Summary:
- Formation energy from raw total energies: -0.0648 eV per atom
- M_tot: 0.0 μB/cell
- Offset from the most stable computed form: 0.0 kJ per mole of atoms

=====

2.
Below is a relaxed structure of CrRuRh2N, with properties calculated at the PBE level.

a = 4.6572 Å, b = 3.4645 Å, c = 4.6572 Å
α = 90.00°, β = 90.00°, γ = 90.00°
Each line ends with the local moment (μB).
Atoms (fractional coordinates):
Ru 0.5000 0.5000 0.5000  1.93
N 0.0000 0.5000 0.0000  0.12
Rh 0.0000 0.0000 0.5000  0.35
Rh 0.5000 0.0000 0.0000  0.38
Cr 0.0000 0.0000 0.0000  -0.28

Summary:
- Formation energy from raw total energies: 1.1057 eV per atom
- M_tot: 2.6 μB/cell

=====

3.
Below is a relaxed structure of CrRhS2N, with properties calculated at the PBE level.

a = 4.8561 Å, b = 4.8561 Å, c = 3.6174 Å
α = 90.00°, β = 90.00°, γ = 90.00°
Each line ends with the local moment (μB).
Atoms (fractional coordinates):
Cr 0.5000 0.5000 0.5000  3.83
S 0.0000 0.5000 0.0000  -0.21
S 0.5000 0.0000 0.0000  -0.21
Rh 0.0000 0.0000 0.0000  -0.03
N 0.0000 0.0000 0.5000  0.00

Summary:
- Formation energy from raw total energies: 0.5480 eV per atom
- M_tot: 3.6 μB/cell
- Offset from the most stable computed form: 10.9 kJ per mole of atoms

=====

4.
Below is a relaxed structure of CrRhS2N, with properties calculated at the PBE level.

a = 4.5843 Å, b = 4.5843 Å, c = 3.4571 Å
α = 90.00°, β = 90.00°, γ = 90.00°
Atoms (fractional coordinates):
Cr 0.0000 0.0000 0.0000
S 0.0000 0.5000 0.0000
S 0.5000 0.0000 0.0000
Rh 0.5000 0.5000 0.5000
N 0.0000 0.0000 0.5000

Summary:
- Formation energy from raw total energies: 0.4349 eV per atom
- M_tot: 0.0 μB/cell
- Offset from the most stable computed form: 0.0 kJ per mole of atoms

=====

5.
Below is a relaxed structure of CrRhSe2N, with properties calculated at the PBE level.

a = 4.8677 Å, b = 4.8677 Å, c = 3.4530 Å
α = 90.00°, β = 90.00°, γ = 90.00°
Each line ends with the local moment (μB).
Atoms (fractional coordinates):
Cr 0.0000 0.0000 0.0000  1.12
Rh 0.5000 0.5000 0.5000  -0.02
Se 0.0000 0.5000 0.0000  -0.03
Se 0.5000 0.0000 0.0000  -0.03
N 0.0000 0.0000 0.5000  -0.16

Summary:
- Formation energy from raw total energies: 0.3686 eV per atom
- M_tot: 0.9 μB/cell
- Offset from the most stable computed form: 0.0 kJ per mole of atoms

=====

6.
Below is a relaxed structure of CrRhSe2N, with properties calculated at the PBE level.

a = 5.1128 Å, b = 5.1128 Å, c = 3.6249 Å
α = 90.00°, β = 90.00°, γ = 90.00°
Each line ends with the local moment (μB).
Atoms (fractional coordinates):
Cr 0.5000 0.5000 0.5000  3.87
Rh 0.0000 0.0000 0.0000  -0.02
Se 0.0000 0.5000 0.0000  -0.24
Se 0.5000 0.0000 0.0000  -0.24
N 0.0000 0.0000 0.5000  -0.01

Summary:
- Formation energy from raw total energies: 0.4883 eV per atom
- M_tot: 3.6 μB/cell
- Offset from the most stable computed form: 11.6 kJ per mole of atoms

=====

7.
Below is a relaxed structure of TaCr2RhN, with properties calculated at the PBE level.

a = 3.8362 Å, b = 3.8362 Å, c = 4.2255 Å
α = 90.00°, β = 90.00°, γ = 90.00°
Each line ends with the local moment (μB).
Atoms (fractional coordinates):
Cr 0.0000 0.5000 0.0000  0.39
Cr 0.5000 0.0000 0.0000  0.39
N 0.0000 0.0000 0.0000  -0.01
Rh 0.5000 0.5000 0.5000  0.00
Ta 0.0000 0.0000 0.5000  -0.04

Summary:
- Formation energy from raw total energies: -0.4208 eV per atom
- M_tot: 0.7 μB/cell

=====

8.
Below is a relaxed structure of Ta2CrRhN, with properties calculated at the PBE level.

a = 4.2582 Å, b = 4.2582 Å, c = 3.7660 Å
α = 90.00°, β = 90.00°, γ = 90.00°
Atoms (fractional coordinates):
Cr 0.0000 0.0000 0.5000
N 0.0000 0.0000 0.0000
Rh 0.5000 0.5000 0.5000
Ta 0.0000 0.5000 0.0000
Ta 0.5000 0.0000 0.0000

Summary:
- Formation energy from raw total energies: -0.5538 eV per atom
- M_tot: 0.0 μB/cell